Entry 1:
Computed, not measured: NiHgAu2 after structural relaxation at the PBE-GGA level of DFT.

As for the calculated density: 15.50 g/cm³. For the energy of formation from the pure elements, the calculation gives 17 kJ/mol of atoms. As for the crystal system: trigonal. Its volume is 17.5 Å³/atom.

The space group is R3m (No. 160, hexagonal axes) and the conventional cell measures 3.0297, 3.0297 and 26.4156 Å, with angles of 90.00, 90.00 and 120.00 degrees. Symmetry generates all atoms from Ni at (0.0000, 0.0000, 0.0000), Hg at (0.0000, 0.0000, 0.2555), Au at (0.0000, 0.0000, 0.4964) and Au at (0.0000, 0.0000, 0.7411).


Entry 2:
Computed, not measured: NiHgAu3 after structural relaxation at the PBE-GGA level of DFT.

Its offset from the most stable computed form is 0 meV/atom. As for the calculated density: 12.71 g/cm³. For the energy of formation from the pure elements, the calculation gives 56 kJ/mol of atoms. As for the crystal system: cubic. Its volume is 22.2 Å³/atom.

The space group is Pm-3m (No. 221) and the conventional cell measures 4.8075, 4.8075 and 4.8075 Å, with angles of 90.00, 90.00 and 90.00 degrees. Symmetry generates all atoms from Ni at (0.0000, 0.0000, 0.0000), Hg at (0.5000, 0.5000, 0.5000) and Au at (0.0000, 0.0000, 0.5000).


Entry 3:
Computed, not measured: NiHgAu2 after structural relaxation at the PBE-GGA level of DFT.

As for the calculated density: 15.78 g/cm³. For the energy of formation from the pure elements, the calculation gives 12 kJ/mol of atoms. As for the crystal system: tetragonal. Its volume is 17.2 Å³/atom.

The space group is P4/mmm (No. 123) and the conventional cell measures 4.0527, 4.0527 and 4.1843 Å, with angles of 90.00, 90.00 and 90.00 degrees. Symmetry generates all atoms from Ni at (0.0000, 0.0000, 0.0000), Hg at (0.5000, 0.5000, 0.0000) and Au at (0.0000, 0.5000, 0.5000).


Entry 4:
Computed, not measured: NiHg2Au after structural relaxation at the PBE-GGA level of DFT.

Its offset from the most stable computed form is 175 meV/atom. As for the calculated density: 14.95 g/cm³. For the energy of formation from the pure elements, the calculation gives 28 kJ/mol of atoms. As for the crystal system: cubic. Its volume is 18.2 Å³/atom.

The space group is F-43m (No. 216) and the conventional cell measures 6.6334, 6.6334 and 6.6334 Å, with angles of 90.00, 90.00 and 90.00 degrees. Symmetry generates all atoms from Ni at (0.0000, 0.0000, 0.0000), Hg at (0.0000, 0.0000, 0.5000), Hg at (0.2500, 0.2500, 0.2500) and Au at (0.2500, 0.2500, 0.7500).


Entry 5:
Computed, not measured: NiHg2Au after structural relaxation at the PBE-GGA level of DFT.

Its offset from the most stable computed form is 62 meV/atom. As for the calculated density: 15.11 g/cm³. For the energy of formation from the pure elements, the calculation gives 17 kJ/mol of atoms. As for the crystal system: monoclinic. Its volume is 18.0 Å³/atom.

The space group is P2/m (No. 10) and the conventional cell measures 3.1368, 3.0491 and 7.5468 Å, with angles of 90.00, 91.20 and 90.00 degrees. Symmetry generates all atoms from Ni at (0.0000, 0.0000, 0.0000), Hg at (0.4953, 0.5000, 0.7792) and Au at (0.0000, 0.0000, 0.5000).


Entry 6:
Computed, not measured: NiHg2Au after structural relaxation at the PBE-GGA level of DFT.

Its offset from the most stable computed form is 123 meV/atom. As for the calculated density: 14.90 g/cm³. For the energy of formation from the pure elements, the calculation gives 23 kJ/mol of atoms. As for the crystal system: orthorhombic. Its volume is 18.3 Å³/atom.

The space group is Immm (No. 71) and the conventional cell measures 3.6792, 4.5519 and 8.7392 Å, with angles of 90.00, 90.00 and 90.00 degrees. Symmetry generates all atoms from Ni at (0.0000, 0.0000, 0.0000), Hg at (0.0000, 0.5000, 0.2708) and Au at (0.0000, 0.0000, 0.5000).


no.,total magnetic moment (μB/f.u.)
1,0.000
2,0.235
3,0.000
4,0.000
5,0.000
6,0.000